This record from Alexandria via LeMat-Bulk describes a relaxed structure of Co2TeSe. The functional is PBE.

a = 5.3718 Å, b = 5.3718 Å, c = 6.7908 Å
α = 66.70°, β = 66.70°, γ = 90.00°
Sites, in units of the cell vectors:
Co 0.1591 0.6250 0.2500
Co 0.8750 0.8409 0.7500
Co 0.3750 0.4091 0.7500
Co 0.5909 0.1250 0.2500
Te 0.7500 0.2500 0.5000
Te 0.0000 0.0000 0.0000
Se 0.2500 0.7500 0.5000
Se 0.5000 0.5000 0.0000

Space group ... No. 122
E_form (uncorrected) ... 0.023 eV/atom
Mass density ... 6.633 Mg/m³
E above lowest polymorph ... 0.30 eV per formula unit

***

This record from Alexandria via LeMat-Bulk describes a relaxed structure of LiTcAs2. The functional is PBE.

a = 3.0507 Å, b = 3.0505 Å, c = 7.0244 Å
α = 90.00°, β = 90.00°, γ = 90.00°
Sites, in units of the cell vectors:
As 0.0000 0.0000 0.9677
As 0.0000 0.0000 0.5323
Tc 0.5000 0.5000 0.7500
Li 0.5000 0.5000 0.2500

ΔE_f ... -133 kJ/mol of formula units
Space group ... No. 123
Mass density ... 6.472 Mg/m³
E above lowest polymorph ... 0.00 eV per formula unit

***

This record from Alexandria via LeMat-Bulk describes a relaxed structure of KNbIO6. The functional is PBE.

a = 5.4549 Å, b = 5.4549 Å, c = 5.9660 Å
α = 89.98°, β = 90.01°, γ = 59.97°
Sites, in units of the cell vectors:
O 0.4004 0.5959 0.3079
O 0.5962 0.0042 0.3085
O 0.5959 0.4005 0.6921
O 0.0042 0.5963 0.6914
O 0.3988 0.0045 0.6914
O 0.0045 0.3988 0.3086
I 0.3333 0.3333 0.5000
Nb 0.6665 0.6665 0.5000
K 0.0000 0.0000 0.0000

Space group ... No. 149
E_form (uncorrected) ... -1.420 eV/atom
Mass density ... 3.834 Mg/m³

***

This record from Alexandria via LeMat-Bulk describes a relaxed structure of Si5C. The functional is PBE.

a = 5.2562 Å, b = 5.2562 Å, c = 5.8358 Å
α = 90.00°, β = 90.00°, γ = 146.54°
Sites, in units of the cell vectors:
Si 0.3674 0.6326 0.0300
Si 0.0000 0.0000 0.6190
Si 0.6555 0.3445 0.4382
Si 0.6326 0.3674 0.0300
Si 0.3445 0.6555 0.4382
C 0.0000 0.0000 0.9446

Space group ... No. 35
E_form (uncorrected) ... 0.488 eV/atom
Mass density ... 2.847 Mg/m³
E above lowest polymorph ... 0.00 eV per formula unit

***

This record from Alexandria via LeMat-Bulk describes a relaxed structure of InFeCu2. The functional is PBE.

a = 4.2480 Å, b = 2.7464 Å, c = 5.1007 Å
α = 81.02°, β = 90.00°, γ = 90.00°
Sites, in units of the cell vectors:
Cu 0.0000 0.0199 0.0309
Cu 0.0000 0.4801 0.4691
Fe 0.5000 0.2500 0.2500
In 0.5000 0.7500 0.7500

ΔE_f ... 91 kJ/mol of formula units
Space group ... No. 10
Mass density ... 8.412 Mg/m³

***

This record from Alexandria via LeMat-Bulk describes a relaxed structure of PmGdAlOs. The functional is PBE.

a = 5.0326 Å, b = 5.0326 Å, c = 5.0326 Å
α = 60.00°, β = 60.00°, γ = 60.00°
Sites, in units of the cell vectors:
Gd 0.0000 0.0000 0.0000
Pm 0.5000 0.5000 0.5000
Al 0.7500 0.7500 0.7500
Os 0.2500 0.2500 0.2500

ΔE_f ... -62 kJ/mol of formula units
Space group ... No. 216
Mass density ... 9.571 Mg/m³

***

This record from Alexandria via LeMat-Bulk describes a relaxed structure of La2Pr5NdY. The functional is PBE.

a = 8.8593 Å, b = 8.8593 Å, c = 10.3928 Å
α = 115.23°, β = 115.23°, γ = 90.00°
Sites, in units of the cell vectors:
La 0.1194 0.3806 0.0000
La 0.3806 0.8806 0.0000
La 0.8806 0.6194 0.0000
La 0.6194 0.1194 0.0000
Pr 0.3621 0.8621 0.2853
Pr 0.9233 0.4233 0.2853
Pr 0.8621 0.9233 0.2853
Pr 0.0000 0.0000 0.0000
Pr 0.0767 0.5767 0.7147
Pr 0.5000 0.5000 0.0000
Pr 0.5767 0.6379 0.7147
Pr 0.1379 0.0767 0.7147
Pr 0.6379 0.1379 0.7147
Pr 0.4233 0.3621 0.2853
Nd 0.2500 0.2500 0.5000
Nd 0.7500 0.7500 0.5000
Y 0.7500 0.2500 0.5000
Y 0.2500 0.7500 0.5000

ΔE_f ... 209 kJ/mol of formula units
Space group ... No. 140
Mass density ... 6.202 Mg/m³

***

This record from Alexandria via LeMat-Bulk describes a relaxed structure of Dy2MgSe. The functional is PBE.

a = 3.7492 Å, b = 3.7492 Å, c = 10.3277 Å
α = 79.54°, β = 79.54°, γ = 60.00°
Sites, in units of the cell vectors:
Se 0.5000 0.5000 0.5000
Dy 0.8922 0.8922 0.3233
Dy 0.1078 0.1078 0.6767
Mg 0.0000 0.0000 0.0000

Space group ... No. 166
E_form (uncorrected) ... -0.511 eV/atom
Mass density ... 5.785 Mg/m³
E above lowest polymorph ... 1.06 eV per formula unit